A plane-wave DFT calculation with meta-GGA SCAN was carried out for Be2InMo at its PBEsol-relaxed geometry.

CIF file:
```
data_Be2InMo
_chemical_formula_sum 'Be4 In2 Mo2'
_cell_length_a 3.795
_cell_length_b 2.875
_cell_length_c 9.650
_cell_angle_alpha 90.00
_cell_angle_beta 90.00
_cell_angle_gamma 90.00
_symmetry_space_group_name_H-M 'A m m 2'
_symmetry_Int_Tables_number 38
loop_
_symmetry_equiv_pos_as_xyz
'x,y,z'
'-x,-y,z'
'-x,y,z'
'x,-y,z'
'x,y+1/2,z+1/2'
'-x,-y+1/2,z+1/2'
'-x,y+1/2,z+1/2'
'x,-y+1/2,z+1/2'
loop_
_atom_site_label
_atom_site_type_symbol
_atom_site_fract_x
_atom_site_fract_y
_atom_site_fract_z
Be1 Be 0.000 0.000 0.000
Be2 Be 0.500 0.000 0.126
In1 In 0.000 0.000 0.738
Mo1 Mo 0.500 0.000 0.412
```

# TiTe2Pt (meta-GGA SCAN, single point on PBEsol structure)
# energy relative to the elements, uncorrected = -0.2770 eV per atom
data_TiTe2Pt
_chemical_formula_sum 'Ti4 Te8 Pt4'
_cell_length_a 5.981
_cell_length_b 5.981
_cell_length_c 12.411
_cell_angle_alpha 90.00
_cell_angle_beta 90.00
_cell_angle_gamma 90.00
_symmetry_space_group_name_H-M 'I -4 2 d'
_symmetry_Int_Tables_number 122
_symmetry_space_group_name_Hall 'I -4 2bw'
loop_
_atom_site_label
_atom_site_type_symbol
_atom_site_fract_x
_atom_site_fract_y
_atom_site_fract_z
Ti1 Ti 0.000 0.000 0.000
Te1 Te 0.244 0.250 0.625
Pt1 Pt 0.000 0.000 0.500

Number 1: total energy -18.954 eV per atom, magnetization 0.00 μB/cell. Number 2: total energy -40.458 eV per atom, magnetization 0.00 μB/cell.